<i>
Density functional theory data (PBE-GGA) for a relaxed Ce2PuGe crystal.

Results
size of the total moment = 1.866 μB per atom

Lattice parameters (Å, degrees): 4.423 4.659 4.659 90.00 90.00 90.00
Each line ends with the local moment (μB).
Fractional coordinates of all 4 atoms:
Ce (0.000, 0.000, 0.500)  0.73
Ce (0.000, 0.500, 0.000)  0.73
Pu (0.500, 0.500, 0.500)  5.45
Ge (0.500, 0.000, 0.000)  -0.07

***

<ii>
Density functional theory data (PBE-GGA) for a relaxed Ce2PuGe crystal.

Results
size of the total moment = 2.065 μB per atom

Lattice parameters (Å, degrees): 5.162 5.162 5.162 60.00 60.00 60.00
Each line ends with the local moment (μB).
Fractional coordinates of all 4 atoms:
Pu (0.000, 0.000, 0.000)  5.76
Ge (0.500, 0.500, 0.500)  -0.10
Ce (0.250, 0.250, 0.250)  0.90
Ce (0.750, 0.750, 0.750)  0.90

***

Relative stability in kJ/mol of atoms, measured from the most stable structure: <i> 0.0; <ii> 12.6

***

<i>
Density functional theory data (PBE-GGA) for a relaxed Ce2Pu3Ge3 crystal.

Results
size of the total moment = 2.007 μB per atom

Lattice parameters (Å, degrees): 3.728 5.091 9.993 104.76 100.75 90.00
Each line ends with the local moment (μB).
Fractional coordinates of all 8 atoms:
Ge (0.860, 0.860, 0.719)  0.10
Ge (0.140, 0.140, 0.281)  0.10
Ge (0.000, 0.500, 0.000)  0.16
Ce (0.229, 0.729, 0.457)  -0.28
Ce (0.771, 0.271, 0.543)  -0.28
Pu (0.383, 0.383, 0.765)  -5.04
Pu (0.500, 0.000, 0.000)  -5.34
Pu (0.617, 0.617, 0.235)  -5.04

***

<ii>
Density functional theory data (PBE-GGA) for a relaxed Ce2Pu3Ge3 crystal.

Results
size of the total moment = 2.447 μB per atom

Lattice parameters (Å, degrees): 6.456 8.551 8.551 120.00 90.00 90.00
Each line ends with the local moment (μB).
Fractional coordinates of all 16 atoms:
Ge (0.250, 0.000, 0.399)  -0.10
Ge (0.750, 0.399, 0.399)  -0.10
Ge (0.750, 0.000, 0.601)  -0.10
Ge (0.750, 0.601, 0.000)  -0.10
Ge (0.250, 0.601, 0.601)  -0.10
Ge (0.250, 0.399, 0.000)  -0.10
Pu (0.250, 0.239, 0.239)  5.52
Pu (0.250, 0.761, 0.000)  5.52
Pu (0.750, 0.000, 0.239)  5.52
Pu (0.750, 0.761, 0.761)  5.52
Pu (0.750, 0.239, 0.000)  5.52
Pu (0.250, 0.000, 0.761)  5.52
Ce (0.500, 0.333, 0.667)  0.65
Ce (0.500, 0.667, 0.333)  0.65
Ce (0.000, 0.667, 0.333)  0.65
Ce (0.000, 0.333, 0.667)  0.65

***

Relative stability in kJ/mol of atoms, measured from the most stable structure: <i> 3.9; <ii> 0.0